GdMgZn after structural relaxation, computed with PBE.

- M_tot: 0.015 μB/cell
- Total energy: -2.598 eV/atom

Cell: 5.0867 5.0867 9.2279 Å, 90.00 90.00 120.00°
Element x y z (fractional)
Gd 0.6667 0.3333 0.8471
Gd 0.0000 0.0000 0.0954
Mg 0.3333 0.6667 0.9847
Zn 0.6667 0.3333 0.1800
Mg 0.0000 0.0000 0.7235
Gd 0.3333 0.6667 0.3344
Mg 0.3333 0.6667 0.6694
Zn 0.0000 0.0000 0.4251
Zn 0.6667 0.3333 0.4984

***

GaAg15 after structural relaxation, computed with PBE.

- ΔE to the lowest computed polymorph: 0 kJ/mol of formula units

Cell: 8.2238 47.0979 4.1286 Å, 90.00 90.00 90.00°
Element x y z (fractional)
Ga 0.6255 0.6640 0.5000
Ag 0.6251 0.0672 0.0000
Ag 0.6262 0.7537 0.5000
Ag 0.8749 0.7986 0.5000
Ag 0.8704 0.3358 0.5000
Ag 0.3757 0.7985 0.5000
Ag 0.1251 0.0224 0.5000
Ag 0.8752 0.8880 0.5000
Ag 0.8746 0.1567 0.5000
Ag 0.3762 0.2911 0.0000
Ag 0.1251 0.7083 0.0000
Ag 0.3750 0.8434 0.0000
Ag 0.1296 0.6642 0.5000
Ag 0.8704 0.6642 0.0000
Ag 0.8749 0.2917 0.0000
Ag 0.3749 0.9328 0.0000
Ag 0.8746 0.8433 0.0000
Ag 0.3757 0.2015 0.0000
Ag 0.8750 0.7537 0.0000
Ag 0.8749 0.0224 0.0000
Ag 0.6250 0.1566 0.0000
Ag 0.1251 0.9329 0.5000
Ag 0.8749 0.9329 0.0000
Ag 0.8750 0.2463 0.5000
Ag 0.8752 0.1120 0.0000
Ag 0.1250 0.2463 0.0000
Ag 0.6249 0.8881 0.0000
Ag 0.1251 0.7986 0.0000
Ag 0.6238 0.2911 0.5000
Ag 0.6250 0.8434 0.5000
Ag 0.6243 0.2015 0.5000
Ag 0.1251 0.0671 0.0000
Ag 0.6251 0.9328 0.5000
Ag 0.6249 0.1119 0.5000
Ag 0.3751 0.1119 0.0000
Ag 0.1248 0.8880 0.0000
Ag 0.3751 0.0224 0.0000
Ag 0.1254 0.8433 0.5000
Ag 0.1248 0.1120 0.5000
Ag 0.1251 0.2917 0.5000
Ag 0.1250 0.7537 0.5000
Ag 0.3738 0.2463 0.5000
Ag 0.3751 0.9776 0.5000
Ag 0.1251 0.9776 0.0000
Ag 0.8749 0.2014 0.0000
Ag 0.6249 0.0224 0.5000
Ag 0.3762 0.7089 0.5000
Ag 0.6249 0.9776 0.0000
Ag 0.3750 0.1566 0.5000
Ag 0.3751 0.8881 0.5000
Ag 0.3738 0.7537 0.0000
Ag 0.8749 0.7083 0.5000
Ga 0.6255 0.3360 0.0000
Ag 0.6243 0.7985 0.0000
Ga 0.3745 0.6640 0.0000
Ag 0.8749 0.0671 0.5000
Ag 0.1296 0.3358 0.0000
Ag 0.6238 0.7089 0.0000
Ag 0.1251 0.2014 0.5000
Ag 0.1254 0.1567 0.0000
Ga 0.3745 0.3360 0.5000
Ag 0.6262 0.2463 0.0000
Ag 0.3749 0.0672 0.5000
Ag 0.8749 0.9776 0.5000

***

HfInFeNi after structural relaxation, computed with PBE.

- ΔE to the lowest computed polymorph: 132 kJ/mol of formula units
- M_tot: 2.281 μB/cell

Cell: 4.5195 4.5195 4.5195 Å, 60.00 60.00 60.00°
Element x y z (fractional)
In 0.0000 0.0000 0.0000
Hf 0.2500 0.2500 0.2500
Ni 0.7500 0.7500 0.7500
Fe 0.5000 0.5000 0.5000

***

SmAsPtO after structural relaxation, computed with PBE.

- M_tot: 0.004 μB/cell
- Total energy: -6.420 eV/atom

Cell: 3.5993 7.8781 5.5883 Å, 90.00 90.00 90.00°
Element x y z (fractional)
O 0.5000 0.5521 0.0003
Sm 0.0000 0.3062 0.4125
Sm 0.0000 0.6938 0.9125
O 0.5000 0.4479 0.5003
As 0.0000 0.0771 0.9038
As 0.0000 0.9229 0.4038
Pt 0.5000 0.7205 0.4374
Pt 0.5000 0.2795 0.9374

***

SrSmAuO3 after structural relaxation, computed with PBE.

- M_tot: 0.005 μB/cell
- Total energy: -6.390 eV/atom

Cell: 6.7692 6.7692 8.6798 Å, 90.00 90.00 32.23°
Element x y z (fractional)
Au 0.6219 0.6219 0.7500
Sm 0.0000 0.0000 0.0000
O 0.9340 0.9340 0.7500
O 0.0660 0.0660 0.2500
O 0.3838 0.3838 0.0177
Sr 0.3198 0.3198 0.7500
O 0.6162 0.6162 0.5177
O 0.6162 0.6162 0.9823
Sm 0.0000 0.0000 0.5000
Sr 0.6802 0.6802 0.2500
O 0.3838 0.3838 0.4823
Au 0.3781 0.3781 0.2500

***

Ta2Nb4Sb3C3 after structural relaxation, computed with PBE.

- M_tot: 0.002 μB/cell
- Total energy: -9.039 eV/atom

Cell: 5.8413 5.8413 13.4935 Å, 102.46 102.46 59.94°
Element x y z (fractional)
C 0.0000 0.5000 0.0000
Ta 0.4727 0.6435 0.4169
Sb 0.9156 0.0844 0.7500
Ta 0.5273 0.3565 0.5831
Nb 0.8096 0.9665 0.4145
Sb 0.0844 0.9156 0.2500
C 0.8251 0.3371 0.5000
C 0.5000 0.0000 0.5000
Nb 0.9665 0.8096 0.9145
Sb 0.7478 0.5839 0.2495
Nb 0.1904 0.0335 0.5855
C 0.3371 0.8251 0.0000
Nb 0.1330 0.3055 0.4145
Ta 0.3565 0.5273 0.0831
Sb 0.4161 0.2522 0.2505
Sb 0.2522 0.4161 0.7505
Nb 0.8670 0.6945 0.5855
C 0.6629 0.1749 0.0000
Sb 0.5839 0.7478 0.7495
Nb 0.6945 0.8670 0.0855
C 0.1749 0.6629 0.5000
Nb 0.3055 0.1330 0.9145
Ta 0.6435 0.4727 0.9169
Nb 0.0335 0.1904 0.0855